Entry 1:
Density functional theory data (GGA-PBE) for HfTlSe2Br after structural relaxation.

POSCAR file:
```
HfTlSe2Br
1.0
5.219 0.000 0.000
0.000 5.219 0.000
0.000 0.000 5.394
Hf Br Tl Se
1 1 1 2
direct
0.000 0.000 0.000 Hf
0.000 0.000 0.500 Br
0.500 0.500 0.500 Tl
0.000 0.500 0.000 Se
0.500 0.000 0.000 Se
```

Calculated values
formation energy without anion corrections = -905 meV/atom
energy relative to the lowest polymorph listed for this composition = 0.0 meV/atom
total magnetization = 0.0 μB/cell



Entry 2:
Density functional theory data (GGA-PBE) for HfTlSeBr2 after structural relaxation.

POSCAR file:
```
HfTlSeBr2
1.0
5.352 0.000 0.000
0.000 5.352 0.000
0.000 0.000 5.208
Br Hf Se Tl
2 1 1 1
direct
0.500 0.000 0.000 Br
0.000 0.500 0.000 Br
0.000 0.000 0.000 Hf
0.000 0.000 0.500 Se
0.500 0.500 0.500 Tl
```

Calculated values
formation energy without anion corrections = -835 meV/atom
energy relative to the lowest polymorph listed for this composition = 0.0 meV/atom
total magnetization = 0.0 μB/cell



Entry 3:
Density functional theory data (GGA-PBE) for HfTlSe2Br after structural relaxation.

POSCAR file:
```
HfTlSe2Br
1.0
-0.578 -2.785 4.523
-1.907 -4.137 -2.791
4.941 -1.910 -0.544
Hf Se Tl Br
1 2 1 1
direct
0.500 0.500 0.500 Hf
0.000 0.500 0.000 Se
0.500 0.000 0.000 Se
0.000 0.000 0.000 Tl
0.000 0.000 0.500 Br
```

Calculated values
formation energy without anion corrections = 657 meV/atom
energy relative to the lowest polymorph listed for this composition = 1561.8 meV/atom
total magnetization = 1.1 μB/cell



Entry 4:
Density functional theory data (GGA-PBE) for HfTlSeBr2 after structural relaxation.

POSCAR file:
```
HfTlSeBr2
1.0
-0.777 -0.987 5.393
-4.992 -2.124 -1.108
2.229 -4.934 -0.581
Br Se Hf Tl
2 1 1 1
direct
0.000 0.500 0.000 Br
0.500 0.000 0.000 Br
0.000 0.000 0.500 Se
0.500 0.500 0.500 Hf
0.000 0.000 0.000 Tl
```

Calculated values
formation energy without anion corrections = 591 meV/atom
energy relative to the lowest polymorph listed for this composition = 1426.7 meV/atom
total magnetization = 1.7 μB/cell



Entry 5:
Density functional theory data (GGA-PBE) for HfVSe2Br after structural relaxation.

POSCAR file:
```
HfVSe2Br
1.0
5.190 0.000 0.000
0.000 5.190 0.000
0.000 0.000 5.169
V Br Se Hf
1 1 2 1
direct
0.500 0.500 0.500 V
0.000 0.000 0.500 Br
0.000 0.500 0.000 Se
0.500 0.000 0.000 Se
0.000 0.000 0.000 Hf
```

Calculated values
formation energy without anion corrections = -116 meV/atom
energy relative to the lowest polymorph listed for this composition = 0.0 meV/atom
total magnetization = 3.8 μB/cell



Entry 6:
Density functional theory data (GGA-PBE) for HfVSe2Br after structural relaxation.

POSCAR file:
```
HfVSe2Br
1.0
-2.506 -4.069 1.218
3.036 -0.727 3.817
-2.897 2.624 2.804
V Se Br Hf
1 2 1 1
direct
0.000 0.000 0.000 V
0.500 0.000 0.000 Se
0.000 0.500 0.000 Se
0.000 0.000 0.500 Br
0.500 0.500 0.500 Hf
```

Calculated values
formation energy without anion corrections = 102 meV/atom
energy relative to the lowest polymorph listed for this composition = 218.5 meV/atom
total magnetization = 3.7 μB/cell



Entry 7:
Density functional theory data (GGA-PBE) for HfWSeBr2 after structural relaxation.

POSCAR file:
```
HfWSeBr2
1.0
-3.987 2.905 -1.245
1.213 -0.444 -4.921
-2.837 -4.037 -0.335
Hf Br Se W
1 2 1 1
direct
0.500 0.500 0.500 Hf
0.000 0.500 0.000 Br
0.500 0.000 0.000 Br
0.000 0.000 0.500 Se
0.000 0.000 0.000 W
```

Calculated values
formation energy without anion corrections = 889 meV/atom
energy relative to the lowest polymorph listed for this composition = 235.7 meV/atom
total magnetization = 3.1 μB/cell



Entry 8:
Density functional theory data (GGA-PBE) for HfWSeBr2 after structural relaxation.

POSCAR file:
```
HfWSeBr2
1.0
5.241 0.000 0.000
0.000 5.241 0.000
0.000 0.000 5.224
Se Br W Hf
1 2 1 1
direct
0.000 0.000 0.500 Se
0.500 0.000 0.000 Br
0.000 0.500 0.000 Br
0.500 0.500 0.500 W
0.000 0.000 0.000 Hf
```

Calculated values
formation energy without anion corrections = 653 meV/atom
energy relative to the lowest polymorph listed for this composition = 0.0 meV/atom
total magnetization = 5.5 μB/cell



Entry 9:
Density functional theory data (GGA-PBE) for YHfSe2Br after structural relaxation.

POSCAR file:
```
YHfSe2Br
1.0
5.449 0.000 0.000
0.000 5.449 0.000
0.000 0.000 5.284
Br Hf Y Se
1 1 1 2
direct
0.000 0.000 0.500 Br
0.500 0.500 0.500 Hf
0.000 0.000 0.000 Y
0.500 0.000 0.000 Se
0.000 0.500 0.000 Se
```

Calculated values
formation energy without anion corrections = -243 meV/atom
energy relative to the lowest polymorph listed for this composition = 499.6 meV/atom
total magnetization = 1.6 μB/cell



Entry 10:
Density functional theory data (GGA-PBE) for YHfSe2Br after structural relaxation.

POSCAR file:
```
YHfSe2Br
1.0
-4.071 2.941 -1.252
-3.015 -2.859 3.087
1.044 3.103 3.894
Se Br Hf Y
2 1 1 1
direct
0.500 0.000 0.000 Se
0.000 0.500 0.000 Se
0.000 0.000 0.500 Br
0.000 0.000 0.000 Hf
0.500 0.500 0.500 Y
```

Calculated values
formation energy without anion corrections = -743 meV/atom
energy relative to the lowest polymorph listed for this composition = 0.0 meV/atom
total magnetization = 0.7 μB/cell



Entry 11:
Density functional theory data (GGA-PBE) for YHfSeBr2 after structural relaxation.

POSCAR file:
```
YHfSeBr2
1.0
-1.181 3.339 4.193
0.547 -4.196 3.495
5.390 1.183 0.576
Y Br Se Hf
1 2 1 1
direct
0.000 0.000 0.000 Y
0.000 0.500 0.000 Br
0.500 0.000 0.000 Br
0.000 0.000 0.500 Se
0.500 0.500 0.500 Hf
```

Calculated values
formation energy without anion corrections = -257 meV/atom
energy relative to the lowest polymorph listed for this composition = 249.1 meV/atom
total magnetization = 1.4 μB/cell



Entry 12:
Density functional theory data (GGA-PBE) for YHfSeBr2 after structural relaxation.

POSCAR file:
```
YHfSeBr2
1.0
-0.739 0.973 -5.030
-4.217 -3.003 0.038
-2.945 4.151 1.236
Br Hf Y Se
2 1 1 1
direct
0.500 0.000 0.000 Br
0.000 0.500 0.000 Br
0.000 0.000 0.000 Hf
0.500 0.500 0.500 Y
0.000 0.000 0.500 Se
```

Calculated values
formation energy without anion corrections = -506 meV/atom
energy relative to the lowest polymorph listed for this composition = 0.0 meV/atom
total magnetization = 1.4 μB/cell



Number 8 is which compound? HfWSeBr2



Look up the energy relative to the lowest polymorph listed for this composition of the tenth one. 0.0 meV/atom



Number 4 is which compound? HfTlSeBr2



Copy entry 9 word for word.
Density functional theory data (GGA-PBE) for YHfSe2Br after structural relaxation.

POSCAR file:
```
YHfSe2Br
1.0
5.449 0.000 0.000
0.000 5.449 0.000
0.000 0.000 5.284
Br Hf Y Se
1 1 1 2
direct
0.000 0.000 0.500 Br
0.500 0.500 0.500 Hf
0.000 0.000 0.000 Y
0.500 0.000 0.000 Se
0.000 0.500 0.000 Se
```

Calculated values
formation energy without anion corrections = -243 meV/atom
energy relative to the lowest polymorph listed for this composition = 499.6 meV/atom
total magnetization = 1.6 μB/cell